# 1
A relaxed structure of MoRu2Cl, computed with PBE.

The calculation puts the excess energy over the best structure of this formula in the dataset at 404 meV per atom. For the energy relative to the elements, uncorrected, the calculation gives 2.8 eV/f.u. As for the calculated total energy: -7.113 eV/atom.

Unit cell a=2.841 b=4.633 c=4.475 alpha=90.00 beta=90.00 gamma=90.00
Sites, in units of the cell vectors:
Cl: 0.500 0.000 0.500
Mo: 0.000 0.500 0.500
Ru: 0.000 0.000 0.000
Ru: 0.500 0.500 0.000

***

# 2
A relaxed structure of MoRu2Cl, computed with PBE.

The calculation puts the excess energy over the best structure of this formula in the dataset at 113 meV per atom. For the energy relative to the elements, uncorrected, the calculation gives 1.6 eV/f.u. As for the calculated total energy: -7.405 eV/atom.

Unit cell a=2.807 b=2.807 c=8.103 alpha=90.00 beta=90.00 gamma=90.00
Sites, in units of the cell vectors:
Mo: 0.500 0.500 0.756
Cl: 0.000 0.000 0.550
Ru: 0.000 0.000 0.986
Ru: 0.500 0.500 0.209

***

# 3
A relaxed structure of MoRuS2Cl, computed with PBE.

The calculation puts the excess energy over the best structure of this formula in the dataset at 60 meV per atom. For the energy relative to the elements, uncorrected, the calculation gives 3.8 eV/f.u. As for the calculated total energy: -5.291 eV/atom.

Unit cell a=4.647 b=4.647 c=4.701 alpha=90.00 beta=90.00 gamma=90.00
Sites, in units of the cell vectors:
Ru: 0.000 0.000 0.000
Cl: 0.000 0.000 0.500
Mo: 0.500 0.500 0.500
S: 0.000 0.500 0.000
S: 0.500 0.000 0.000

***

# 4
A relaxed structure of MoRuSCl2, computed with PBE.

For the energy relative to the elements, uncorrected, the calculation gives 3.4 eV/f.u. As for the calculated total energy: -4.913 eV/atom.

Unit cell a=4.956 b=4.956 c=4.435 alpha=90.00 beta=90.00 gamma=90.00
Sites, in units of the cell vectors:
S: 0.000 0.000 0.500
Cl: 0.000 0.500 0.000
Mo: 0.500 0.500 0.500
Ru: 0.000 0.000 0.000
Cl: 0.500 0.000 0.000

***

# 5
A relaxed structure of MoRuS2Cl, computed with PBE.

The calculation puts the excess energy over the best structure of this formula in the dataset at 0 meV per atom. For the energy relative to the elements, uncorrected, the calculation gives 3.5 eV/f.u. As for the calculated total energy: -5.351 eV/atom.

Unit cell a=4.646 b=4.646 c=4.918 alpha=90.00 beta=90.00 gamma=90.00
Sites, in units of the cell vectors:
S: 0.500 0.000 0.000
Mo: 0.000 0.000 0.000
S: 0.000 0.500 0.000
Cl: 0.000 0.000 0.500
Ru: 0.500 0.500 0.500

***

# 6
A relaxed structure of MoRuSCl2, computed with PBE.

For the energy relative to the elements, uncorrected, the calculation gives 3.4 eV/f.u. As for the calculated total energy: -4.914 eV/atom.

Unit cell a=4.928 b=4.928 c=4.605 alpha=90.00 beta=90.00 gamma=90.00
Sites, in units of the cell vectors:
Mo: 0.000 0.000 0.000
Cl: 0.000 0.500 0.000
Ru: 0.500 0.500 0.500
S: 0.000 0.000 0.500
Cl: 0.500 0.000 0.000

***

# 7
A relaxed structure of TiMoRu2Cl, computed with PBE.

For the energy relative to the elements, uncorrected, the calculation gives 6.9 eV/f.u. As for the calculated total energy: -6.455 eV/atom.

Unit cell a=4.687 b=4.979 c=4.687 alpha=90.00 beta=90.00 gamma=90.00
Sites, in units of the cell vectors:
Ti: 0.000 0.500 0.000
Mo: 0.000 0.000 0.000
Ru: 0.500 0.000 0.000
Cl: 0.500 0.500 0.500
Ru: 0.000 0.000 0.500

***

# 8
A relaxed structure of Mo2SCl3, computed with PBE.

For the energy relative to the elements, uncorrected, the calculation gives -3.4 eV/f.u. As for the calculated total energy: -5.792 eV/atom.

Unit cell a=3.145 b=12.148 c=8.112 alpha=104.97 beta=90.00 gamma=97.44
Sites, in units of the cell vectors:
Cl: 0.811 0.623 0.379
S: 0.544 0.087 0.770
Cl: 0.327 0.654 0.017
S: 0.456 0.913 0.230
Cl: 0.673 0.346 0.983
Mo: 0.882 0.765 0.234
Cl: 0.921 0.842 0.708
Cl: 0.079 0.158 0.292
Cl: 0.189 0.377 0.621
Mo: 0.118 0.235 0.766
Mo: 0.551 0.103 0.485
Mo: 0.449 0.897 0.515

***

# 9
A relaxed structure of MoS2Cl, computed with PBE.

The calculation puts the excess energy over the best structure of this formula in the dataset at 838 meV per atom. For the energy relative to the elements, uncorrected, the calculation gives 2.2 eV/f.u. As for the calculated total energy: -4.694 eV/atom.

Unit cell a=4.438 b=4.438 c=4.438 alpha=60.00 beta=60.00 gamma=60.00
Sites, in units of the cell vectors:
S: 0.750 0.750 0.750
S: 0.250 0.250 0.250
Mo: 0.500 0.500 0.500
Cl: 0.000 0.000 0.000

***

# 10
A relaxed structure of MoS2Cl8, computed with PBE.

For the energy relative to the elements, uncorrected, the calculation gives -3.7 eV/f.u. As for the calculated total energy: -3.416 eV/atom.

Unit cell a=7.636 b=8.347 c=7.392 alpha=124.37 beta=78.18 gamma=90.00
Sites, in units of the cell vectors:
Cl: 0.824 0.743 0.886
Cl: 0.824 0.142 0.886
Cl: 0.631 0.683 0.367
Cl: 0.794 0.178 0.355
Cl: 0.176 0.257 0.114
S: 0.509 0.156 0.312
S: 0.491 0.844 0.688
Cl: 0.206 0.822 0.645
Cl: 0.369 0.317 0.633
Mo: 0.000 0.000 0.000
Cl: 0.176 0.858 0.114

***

# 11
A relaxed structure of MoS2Cl, computed with PBE.

The calculation puts the excess energy over the best structure of this formula in the dataset at 1066 meV per atom. For the energy relative to the elements, uncorrected, the calculation gives 3.1 eV/f.u. As for the calculated total energy: -4.466 eV/atom.

Unit cell a=8.897 b=8.897 c=8.897 alpha=20.69 beta=20.69 gamma=20.69
Sites, in units of the cell vectors:
Mo: 0.000 0.000 0.000
S: 0.084 0.084 0.084
Cl: 0.500 0.500 0.500
S: 0.916 0.916 0.916

***

# 12
A relaxed structure of MoS2Cl, computed with PBE.

The calculation puts the excess energy over the best structure of this formula in the dataset at 0 meV per atom. For the energy relative to the elements, uncorrected, the calculation gives -1.2 eV/f.u. As for the calculated total energy: -5.532 eV/atom.

Unit cell a=8.040 b=8.040 c=8.040 alpha=24.07 beta=24.07 gamma=24.07
Sites, in units of the cell vectors:
Cl: 0.000 0.000 0.000
S: 0.103 0.103 0.103
Mo: 0.500 0.500 0.500
S: 0.897 0.897 0.897